# UVAs3 (PBE-GGA, optimized geometry)
data_UVAs3
_chemical_formula_sum 'U4 V4 As12'
_space_group_name_H-M_alt 'P b c m'
_space_group_IT_number 57
_cell_length_a 11.915
_cell_length_b 5.735
_cell_length_c 5.579
_cell_angle_alpha 90.00
_cell_angle_beta 90.00
_cell_angle_gamma 90.00
loop_
_space_group_symop_operation_xyz
'x,y,z'
'-x,-y,-z'
'-x,-y,z+1/2'
'x,y,-z+1/2'
'x,-y+1/2,-z'
'-x,y+1/2,z'
'-x,y+1/2,-z+1/2'
'x,-y+1/2,z+1/2'
loop_
_atom_site_label
_atom_site_type_symbol
_atom_site_fract_x
_atom_site_fract_y
_atom_site_fract_z
U1 U 0.188 0.005 0.250
V1 V 0.412 0.750 0.000
As1 As 0.001 0.750 0.000
As2 As 0.268 0.511 0.250
As3 As 0.426 0.110 0.250
# * E_form: -0.540 eV/atom
# * total DFT energy (no corrections): -7.4113 eV/atom
# * volume: 95.3 Å³/f.u.
# * total magnetization: 10.8 Bohr magnetons per cell